YC2 | PBE | optimized geometry

Cell and atoms, written as POSCAR:
```
YC2
1.0
-1.423 1.423 4.198
1.423 -1.423 4.198
1.423 1.423 -4.198
Y C
1 2
Cartesian
0.000 0.000 0.000
0.000 0.000 2.393
0.000 0.000 6.004
```

Values from the calculation:
energy of formation from the pure elements	472	kJ/mol of formula units
DOS at the Fermi energy	1.449	states/eV per cell
magnetic moment	0.000	μB/atom